Compound: BaLi3Zr
Source: Alexandria
Functional: PBE-GGA
Structure: relaxed

Structure (POSCAR):
```
BaLi3Zr
1.0
5.552 0.000 0.000
0.000 5.552 0.000
0.000 0.000 5.552
Ba Li Zr
1 3 1
direct
0.000 0.000 0.000 Ba
0.000 0.500 0.500 Li
0.500 0.000 0.500 Li
0.500 0.500 0.000 Li
0.500 0.500 0.500 Zr
```

Computed properties:
Symmetry ... No. 221
Formation enthalpy at 0 K ... 0.75 eV per atom
DOS at the Fermi energy ... 0.8357 states/eV/atom


Compound: BaLiZr2
Source: Alexandria
Functional: PBE-GGA
Structure: relaxed

Structure (POSCAR):
```
BaLiZr2
1.0
5.211 -1.628 0.000
5.211 1.628 0.000
-0.680 0.000 6.738
Ba Li Zr
1 1 2
direct
0.000 0.000 0.000 Ba
0.243 0.243 0.723 Li
0.495 0.495 0.484 Zr
0.763 0.763 0.350 Zr
```

Computed properties:
Symmetry ... No. 8
Formation enthalpy at 0 K ... 0.45 eV per atom
DOS at the Fermi energy ... 1.2292 states/eV/atom


Compound: BaLiZr
Source: Alexandria
Functional: PBE-GGA
Structure: relaxed

Structure (POSCAR):
```
BaLiZr
1.0
0.000 3.759 3.759
3.759 0.000 3.759
3.759 3.759 0.000
Ba Li Zr
1 1 1
direct
0.000 0.000 0.000 Ba
0.250 0.250 0.250 Li
0.500 0.500 0.500 Zr
```

Computed properties:
Symmetry ... No. 216
Formation enthalpy at 0 K ... 0.95 eV per atom
DOS at the Fermi energy ... 1.2967 states/eV/atom


Compound: BaLi2Zr
Source: Alexandria
Functional: PBE-GGA
Structure: relaxed

Structure (POSCAR):
```
BaLi2Zr
1.0
0.000 3.739 3.739
3.739 0.000 3.739
3.739 3.739 0.000
Ba Li Zr
1 2 1
direct
0.000 0.000 0.000 Ba
0.500 0.500 0.500 Li
0.750 0.750 0.750 Li
0.250 0.250 0.250 Zr
```

Computed properties:
Symmetry ... No. 216
Formation enthalpy at 0 K ... 0.61 eV per atom
DOS at the Fermi energy ... 0.5027 states/eV/atom


Compound: BaLiZr2
Source: Alexandria
Functional: PBE-GGA
Structure: relaxed

Structure (POSCAR):
```
BaLiZr2
1.0
6.447 -1.686 0.000
6.447 1.686 0.000
-2.207 0.000 4.908
Ba Li Zr
1 1 2
direct
0.000 0.000 0.000 Ba
0.500 0.500 0.500 Li
0.224 0.224 0.722 Zr
0.776 0.776 0.278 Zr
```

Computed properties:
Symmetry ... No. 12
Formation enthalpy at 0 K ... 0.44 eV per atom
DOS at the Fermi energy ... 1.3820 states/eV/atom


Compound: BaLiZr2
Source: Alexandria
Functional: PBE-GGA
Structure: relaxed

Structure (POSCAR):
```
BaLiZr2
1.0
0.000 3.693 3.693
3.693 0.000 3.693
3.693 3.693 0.000
Ba Li Zr
1 1 2
direct
0.000 0.000 0.000 Ba
0.500 0.500 0.500 Li
0.250 0.250 0.250 Zr
0.750 0.750 0.750 Zr
```

Computed properties:
Symmetry ... No. 225
Formation enthalpy at 0 K ... 0.85 eV per atom
DOS at the Fermi energy ... 2.0349 states/eV/atom


Compound: Ba2LiZr
Source: Alexandria
Functional: PBE-GGA
Structure: relaxed

Structure (POSCAR):
```
Ba2LiZr
1.0
6.641 -1.838 0.000
6.641 1.838 0.000
-1.912 0.000 6.077
Ba Li Zr
2 1 1
direct
0.000 0.000 0.000 Ba
0.207 0.207 0.622 Ba
0.442 0.442 0.445 Li
0.758 0.758 0.159 Zr
```

Computed properties:
Symmetry ... No. 8
Formation enthalpy at 0 K ... 0.47 eV per atom
DOS at the Fermi energy ... 1.3383 states/eV/atom


Compound: Ba2LiZr
Source: Alexandria
Functional: PBE-GGA
Structure: relaxed

Structure (POSCAR):
```
Ba2LiZr
1.0
1.864 1.076 12.004
-1.864 1.076 12.004
0.000 -2.152 12.004
Ba Li Zr
2 1 1
direct
0.000 0.000 0.000 Ba
0.227 0.227 0.227 Ba
0.750 0.750 0.750 Li
0.480 0.480 0.480 Zr
```

Computed properties:
Symmetry ... No. 160
Formation enthalpy at 0 K ... 0.55 eV per atom
DOS at the Fermi energy ... 1.4515 states/eV/atom